# 1
# GGA-PBE CdSn2Hg2, relaxed
# Formation energy from the elements in meV per atom: 54
# Excess energy over the best structure of this formula in the dataset in meV per atom: 0
data_CdSn2Hg2
_cell_length_a 3.358
_cell_length_b 3.358
_cell_length_c 22.879
_cell_angle_alpha 90.00
_cell_angle_beta 90.00
_cell_angle_gamma 90.00
_space_group_name_H-M_alt 'I 4/m m m'
_space_group_IT_number 139
_space_group_name_Hall '-I 4 2'
loop_
_atom_site_label
_atom_site_type_symbol
_atom_site_fract_x
_atom_site_fract_y
_atom_site_fract_z
_atom_site_occupancy
Cd1 Cd 0.000 0.000 0.000 1
Sn1 Sn 0.000 0.000 0.199 1
Hg1 Hg 0.000 0.000 0.406 1


# 2
# GGA-PBE CaDy12Tm5, relaxed
# Formation energy from the elements in meV per atom: 42
data_CaDy12Tm5
_cell_length_a 10.623
_cell_length_b 5.004
_cell_length_c 10.638
_cell_angle_alpha 90.00
_cell_angle_beta 90.14
_cell_angle_gamma 90.00
_space_group_name_H-M_alt 'P 1 2/m 1'
_space_group_IT_number 10
_space_group_name_Hall '-P 2y'
loop_
_atom_site_label
_atom_site_type_symbol
_atom_site_fract_x
_atom_site_fract_y
_atom_site_fract_z
_atom_site_occupancy
Ca1 Ca 0.000 0.000 0.000 1
Dy1 Dy 0.001 0.000 0.662 1
Dy2 Dy 0.167 0.500 0.500 1
Dy3 Dy 0.173 0.500 0.173 1
Dy4 Dy 0.334 0.000 0.334 1
Dy5 Dy 0.338 0.000 0.999 1
Dy6 Dy 0.499 0.500 0.833 1
Tm1 Tm 0.173 0.500 0.827 1
Tm2 Tm 0.334 0.000 0.666 1
Tm3 Tm 0.500 0.500 0.500 1


# 3
# GGA-PBE TbDyH, relaxed
# Excess energy over the best structure of this formula in the dataset in meV per atom: 118
data_TbDyH
_cell_length_a 3.355
_cell_length_b 3.355
_cell_length_c 12.069
_cell_angle_alpha 90.00
_cell_angle_beta 90.00
_cell_angle_gamma 90.00
_space_group_name_H-M_alt 'I 4 m m'
_space_group_IT_number 107
_space_group_name_Hall 'I 4 -2'
loop_
_atom_site_label
_atom_site_type_symbol
_atom_site_fract_x
_atom_site_fract_y
_atom_site_fract_z
_atom_site_occupancy
Tb1 Tb 0.000 0.000 0.000 1
Dy1 Dy 0.000 0.000 0.710 1
H1 H 0.000 0.000 0.185 1


# 4
# GGA-PBE La2MgW, relaxed
# Formation energy from the elements in meV per atom: 604
# Excess energy over the best structure of this formula in the dataset in meV per atom: 218
data_La2MgW
_cell_length_a 7.342
_cell_length_b 7.342
_cell_length_c 7.342
_cell_angle_alpha 90.00
_cell_angle_beta 90.00
_cell_angle_gamma 90.00
_space_group_name_H-M_alt 'F -4 3 m'
_space_group_IT_number 216
_space_group_name_Hall 'F -4 2 3'
loop_
_atom_site_label
_atom_site_type_symbol
_atom_site_fract_x
_atom_site_fract_y
_atom_site_fract_z
_atom_site_occupancy
La1 La 0.000 0.000 0.000 1
La2 La 0.250 0.250 0.250 1
Mg1 Mg 0.250 0.250 0.750 1
W1 W 0.000 0.000 0.500 1


# 5
# GGA-PBE KTaCoGe2, relaxed
# Formation energy from the elements in meV per atom: 1187
data_KTaCoGe2
_cell_length_a 4.601
_cell_length_b 4.601
_cell_length_c 4.973
_cell_angle_alpha 90.00
_cell_angle_beta 90.00
_cell_angle_gamma 90.00
_space_group_name_H-M_alt 'P 4/m m m'
_space_group_IT_number 123
_space_group_name_Hall '-P 4 2'
loop_
_atom_site_label
_atom_site_type_symbol
_atom_site_fract_x
_atom_site_fract_y
_atom_site_fract_z
_atom_site_occupancy
K1 K 0.000 0.000 0.000 1
Ta1 Ta 0.500 0.500 0.000 1
Co1 Co 0.000 0.000 0.500 1
Ge1 Ge 0.000 0.500 0.500 1


# 6
# GGA-PBE CsAcMgTe3, relaxed
# E_form (uncorrected) in eV per formula unit: -7.73
data_CsAcMgTe3
_cell_length_a 10.652
_cell_length_b 4.803
_cell_length_c 11.260
_cell_angle_alpha 90.00
_cell_angle_beta 107.38
_cell_angle_gamma 90.00
_space_group_name_H-M_alt 'P 1 21/m 1'
_space_group_IT_number 11
_space_group_name_Hall '-P 2yb'
loop_
_atom_site_label
_atom_site_type_symbol
_atom_site_fract_x
_atom_site_fract_y
_atom_site_fract_z
_atom_site_occupancy
Cs1 Cs 0.204 0.250 0.233 1
Ac1 Ac 0.330 0.750 0.858 1
Mg1 Mg 0.081 0.250 0.606 1
Te1 Te 0.111 0.250 0.859 1
Te2 Te 0.191 0.750 0.534 1
Te3 Te 0.462 0.750 0.163 1


# 7
# GGA-PBE Ac2NpNi3Rh12, relaxed
# Formation energy from the elements in meV per atom: 312
data_Ac2NpNi3Rh12
_cell_length_a 7.8749
_cell_length_b 7.8749
_cell_length_c 19.8342
_cell_angle_alpha 90.00
_cell_angle_beta 90.00
_cell_angle_gamma 120.00
_space_group_name_H-M_alt 'R -3 m'
_space_group_IT_number 166
_space_group_name_Hall '-R 3 2"'
loop_
_atom_site_label
_atom_site_type_symbol
_atom_site_fract_x
_atom_site_fract_y
_atom_site_fract_z
_atom_site_occupancy
Ac1 Ac 0.0000 0.0000 0.1155 1
Np1 Np 0.0000 0.0000 0.5000 1
Ni1 Ni 0.0000 0.5000 0.0000 1
Rh1 Rh 0.0019 0.5009 0.8779 1
Rh2 Rh 0.0098 0.5049 0.3699 1


# 8
# GGA-PBE BeSbNF2, relaxed
# E_form (uncorrected) in eV per formula unit: -5.88
# Excess energy over the best structure of this formula in the dataset in meV per atom: 0
data_BeSbNF2
_cell_length_a 3.293
_cell_length_b 3.293
_cell_length_c 5.781
_cell_angle_alpha 90.00
_cell_angle_beta 90.00
_cell_angle_gamma 90.00
_space_group_name_H-M_alt 'P 4/m m m'
_space_group_IT_number 123
_space_group_name_Hall '-P 4 2'
loop_
_atom_site_label
_atom_site_type_symbol
_atom_site_fract_x
_atom_site_fract_y
_atom_site_fract_z
_atom_site_occupancy
Be1 Be 0.000 0.000 0.000 1
Sb1 Sb 0.500 0.500 0.500 1
N1 N 0.000 0.000 0.500 1
F1 F 0.000 0.500 0.000 1


Number 1: theoretical density 9.67 Mg/m³. Number 2: theoretical density 8.32 Mg/m³. Number 3: theoretical density 7.88 Mg/m³. Number 4: theoretical density 8.16 Mg/m³. Number 5: theoretical density 6.69 Mg/m³. Number 6: theoretical density 4.63 Mg/m³. Number 7: theoretical density 9.83 Mg/m³. Number 8: theoretical density 4.84 Mg/m³.